Computed, not measured: a relaxed structure of YMgCl at the PBE level of DFT.

abc: 3.4731 3.4786 17.6690
angles: 90.00 90.00 119.95
With the nearest neighbours (Å) after each atom.
Atoms (fractional coordinates):
Mg 0.5389 0.0778 0.0000  6 Cl 2.54
Cl 0.2049 0.4098 0.9120  3 Mg 2.54
Y 0.6829 0.3659 0.6573  3 Mg 3.42-3.43, 6 Y 3.47-3.48
Y 0.6829 0.3659 0.3427  3 Mg 3.42-3.43, 6 Y 3.47-3.48
Cl 0.2049 0.4098 0.0880  3 Mg 2.54
Mg 0.3521 0.7041 0.5000  6 Y 3.42-3.43, 6 Mg 3.47-3.48

Computed properties:
N(E_F) in states/eV per cell: 5.9
Raw formation energy in meV/atom: -582
Electronic total energy in eV per atom: -3.883

=====

Computed, not measured: a relaxed structure of YMg2Cl at the PBE level of DFT.

abc: 9.6928 9.6928 9.6928
angles: 20.78 20.78 20.78
With the nearest neighbours (Å) after each atom.
Atoms (fractional coordinates):
Mg 0.0114 0.0114 0.0114  3 Cl 2.87
Cl 0.7500 0.7500 0.7500  6 Mg 2.87
Mg 0.4886 0.4886 0.4886  3 Cl 2.87
Y 0.2500 0.2500 0.2500  6 Mg 3.37, 6 Y 3.50

Computed properties:
N(E_F) in states/eV per cell: 3.9
Raw formation energy in meV/atom: -500
Energy relative to the lowest polymorph listed for this composition in kJ/mol of formula units: 33.5
Electronic total energy in eV per atom: -3.375

=====

Computed, not measured: a relaxed structure of YMg2Cl at the PBE level of DFT.

abc: 8.5304 8.5304 6.6694
angles: 50.24 50.24 90.00
With the nearest neighbours (Å) after each atom.
Atoms (fractional coordinates):
Mg 0.5801 0.1250 0.2500  2 Cl 2.85, 2 Mg 2.95
Mg 0.3750 0.4199 0.7500  2 Cl 2.85, 2 Mg 2.95
Mg 0.8750 0.8301 0.7500  2 Cl 2.85, 2 Mg 2.95
Y 0.0000 0.0000 0.0000  2 Cl 2.85
Y 0.7500 0.2500 0.5000  2 Cl 2.85
Cl 0.2500 0.7500 0.5000  2 Y 2.85, 4 Mg 2.85
Mg 0.1699 0.6250 0.2500  2 Cl 2.85, 2 Mg 2.95
Cl 0.5000 0.5000 0.0000  2 Y 2.85, 4 Mg 2.85

Computed properties:
N(E_F) in states/eV per cell: 7.0
Raw formation energy in meV/atom: -315
Energy relative to the lowest polymorph listed for this composition in kJ/mol of formula units: 105.0
Electronic total energy in eV per atom: -3.190

=====

Computed, not measured: a relaxed structure of YMg2Cl at the PBE level of DFT.

abc: 5.6115 3.4378 5.7140
angles: 69.33 90.00 90.00
With the nearest neighbours (Å) after each atom.
Atoms (fractional coordinates):
Mg 0.0000 0.6304 0.5135  3 Mg 2.83-3.09
Y 0.5000 0.2500 0.2500  2 Cl 2.77
Cl 0.5000 0.7500 0.7500  2 Y 2.77
Mg 0.0000 0.8696 0.9865  3 Mg 2.83-3.09

Computed properties:
N(E_F) in states/eV per cell: 1.8
Raw formation energy in meV/atom: -420
Energy relative to the lowest polymorph listed for this composition in kJ/mol of formula units: 64.6
Electronic total energy in eV per atom: -3.295

=====

Computed, not measured: a relaxed structure of YMg2Cl at the PBE level of DFT.

abc: 3.4545 3.4545 9.0818
angles: 90.00 90.00 90.00
With the nearest neighbours (Å) after each atom.
Atoms (fractional coordinates):
Cl 0.5000 0.5000 0.6770  4 Y 2.86
Mg 0.0000 0.0000 0.0532  4 Mg 3.07
Y 0.0000 0.0000 0.5126  4 Cl 2.86
Mg 0.5000 0.5000 0.2572  4 Mg 3.07, 4 Y 3.37

Computed properties:
N(E_F) in states/eV per cell: 3.1
Raw formation energy in meV/atom: -553
Energy relative to the lowest polymorph listed for this composition in kJ/mol of formula units: 13.3
Electronic total energy in eV per atom: -3.428

=====

Computed, not measured: a relaxed structure of YMg2Cl at the PBE level of DFT.

abc: 3.3705 3.3705 8.8290
angles: 90.00 90.00 90.00
With the nearest neighbours (Å) after each atom.
Atoms (fractional coordinates):
Y 0.5000 0.5000 0.2500  4 Y 3.37, 8 Mg 3.38
Cl 0.5000 0.5000 0.7500  8 Mg 3.13, 4 Cl 3.37
Mg 0.0000 0.0000 0.9792  4 Cl 3.13, 4 Mg 3.37, 4 Y 3.38
Mg 0.0000 0.0000 0.5208  4 Cl 3.13, 4 Mg 3.37, 4 Y 3.38

Computed properties:
N(E_F) in states/eV per cell: 3.2
Raw formation energy in meV/atom: -426
Energy relative to the lowest polymorph listed for this composition in kJ/mol of formula units: 62.2
Electronic total energy in eV per atom: -3.301

=====

Computed, not measured: a relaxed structure of YMg2Cl at the PBE level of DFT.

abc: 6.5267 6.5267 5.0347
angles: 67.05 67.05 29.57
With the nearest neighbours (Å) after each atom.
Atoms (fractional coordinates):
Mg 0.5059 0.5059 0.4937  6 Mg 3.02-3.33, 2 Cl 3.27
Mg 0.9941 0.9941 0.0063  6 Mg 3.02-3.33, 2 Cl 3.27
Y 0.7500 0.7500 0.7500  4 Cl 3.02, 2 Y 3.33
Cl 0.2500 0.2500 0.2500  4 Y 3.02, 4 Mg 3.27, 2 Cl 3.33

Computed properties:
N(E_F) in states/eV per cell: 2.5
Raw formation energy in meV/atom: -448
Energy relative to the lowest polymorph listed for this composition in kJ/mol of formula units: 53.6
Electronic total energy in eV per atom: -3.323

=====

Computed, not measured: a relaxed structure of MgZnCl2 at the PBE level of DFT.

abc: 7.4476 7.4476 7.2623
angles: 59.15 59.15 90.00
With the nearest neighbours (Å) after each atom.
Atoms (fractional coordinates):
Mg 0.5000 0.5000 0.0000  4 Cl 2.37
Zn 0.7500 0.2500 0.5000  4 Cl 3.72
Cl 0.3750 0.5228 0.7500  2 Mg 2.37
Zn 0.0000 0.0000 0.0000  4 Cl 3.72
Cl 0.8750 0.7272 0.7500  2 Mg 2.37
Mg 0.2500 0.7500 0.5000  4 Cl 2.37
Cl 0.2728 0.6250 0.2500  2 Mg 2.37
Cl 0.4772 0.1250 0.2500  2 Mg 2.37

Computed properties:
N(E_F) in states/eV per cell: 0.0
Raw formation energy in meV/atom: -1040
Energy relative to the lowest polymorph listed for this composition in kJ/mol of formula units: 47.1
Electronic total energy in eV per atom: -2.681

=====

Computed, not measured: a relaxed structure of Mg2ZnCl at the PBE level of DFT.

abc: 5.6332 5.6332 5.6332
angles: 146.61 113.68 76.32
With the nearest neighbours (Å) after each atom.
Atoms (fractional coordinates):
Cl 0.2500 0.7500 0.5000  4 Mg 2.65
Mg 0.0128 0.0128 0.0000  2 Cl 2.65, 2 Zn 2.84
Mg 0.4872 0.4872 0.0000  2 Cl 2.65, 2 Zn 2.84
Zn 0.7500 0.2500 0.5000  4 Mg 2.84

Computed properties:
N(E_F) in states/eV per cell: 1.5
Raw formation energy in meV/atom: -326
Energy relative to the lowest polymorph listed for this composition in kJ/mol of formula units: 86.2
Electronic total energy in eV per atom: -1.903

=====

Computed, not measured: a relaxed structure of MgZnCl4 at the PBE level of DFT.

abc: 3.6250 6.2947 13.1402
angles: 89.58 90.00 90.00
With the nearest neighbours (Å) after each atom.
Atoms (fractional coordinates):
Zn 0.0000 0.0000 0.0000  6 Cl 2.50
Zn 0.5000 0.5000 0.5000  6 Cl 2.50
Cl 0.5000 0.1649 0.8953  2 Zn 2.50, 1 Mg 2.53
Cl 0.5000 0.8351 0.1047  2 Zn 2.50, 1 Mg 2.53
Cl 0.0000 0.3291 0.1049  1 Zn 2.50, 2 Mg 2.51
Cl 0.0000 0.6709 0.8951  1 Zn 2.50, 2 Mg 2.51
Cl 0.5000 0.8291 0.6049  1 Zn 2.50, 2 Mg 2.51
Mg 0.0000 0.0000 0.5000  6 Cl 2.51-2.53
Cl 0.5000 0.1709 0.3951  1 Zn 2.50, 2 Mg 2.51
Cl 0.0000 0.3351 0.6047  2 Zn 2.50, 1 Mg 2.53
Cl 0.0000 0.6649 0.3953  2 Zn 2.50, 1 Mg 2.53
Mg 0.5000 0.5000 0.0000  6 Cl 2.51-2.53

Computed properties:
N(E_F) in states/eV per cell: 0.0
Raw formation energy in meV/atom: -1465
Energy relative to the lowest polymorph listed for this composition in kJ/mol of formula units: 0.0
Electronic total energy in eV per atom: -3.174

=====

Computed, not measured: a relaxed structure of MgZnCl2 at the PBE level of DFT.

abc: 3.6241 3.6241 10.4676
angles: 81.00 81.00 59.98
With the nearest neighbours (Å) after each atom.
Atoms (fractional coordinates):
Mg 0.2500 0.2500 0.2500  6 Cl 2.51
Zn 0.7500 0.7500 0.7500  6 Zn 3.62
Cl 0.5427 0.5427 0.3851  3 Mg 2.51
Cl 0.9573 0.9573 0.1149  3 Mg 2.51

Computed properties:
N(E_F) in states/eV per cell: 0.0
Raw formation energy in meV/atom: -1161
Energy relative to the lowest polymorph listed for this composition in kJ/mol of formula units: 0.6
Electronic total energy in eV per atom: -2.801

=====

Computed, not measured: a relaxed structure of MgZnCl3 at the PBE level of DFT.

abc: 4.8804 4.8804 4.8804
angles: 90.00 90.00 90.00
With the nearest neighbours (Å) after each atom.
Atoms (fractional coordinates):
Cl 0.0000 0.5000 0.0000  2 Zn 2.44
Mg 0.5000 0.5000 0.5000  12 Cl 3.45
Cl 0.0000 0.0000 0.5000  2 Zn 2.44
Zn 0.0000 0.0000 0.0000  6 Cl 2.44
Cl 0.5000 0.0000 0.0000  2 Zn 2.44

Computed properties:
N(E_F) in states/eV per cell: 2.4
Raw formation energy in meV/atom: -759
Energy relative to the lowest polymorph listed for this composition in kJ/mol of formula units: 106.2
Electronic total energy in eV per atom: -2.441

=====

Computed, not measured: a relaxed structure of MgZnCl2 at the PBE level of DFT.

abc: 3.4255 4.1229 9.5806
angles: 78.96 90.00 90.00
With the nearest neighbours (Å) after each atom.
Atoms (fractional coordinates):
Cl 0.0000 0.4071 0.3999  2 Mg 2.40
Cl 0.0000 0.0929 0.1001  2 Mg 2.40
Mg 0.5000 0.2500 0.2500  4 Cl 2.40
Zn 0.5000 0.7500 0.7500  2 Zn 3.43

Computed properties:
Raw formation energy in meV/atom: -986
Energy relative to the lowest polymorph listed for this composition in kJ/mol of formula units: 67.9
Electronic total energy in eV per atom: -2.627

=====

Computed, not measured: a relaxed structure of MgZnCl2 at the PBE level of DFT.

abc: 4.7379 4.7379 3.7705
angles: 90.00 90.00 90.00
With the nearest neighbours (Å) after each atom.
Atoms (fractional coordinates):
Cl 0.5000 0.5000 0.0000  4 Mg 3.03, 4 Zn 3.03, 4 Cl 3.35
Mg 0.5000 0.0000 0.5000  8 Cl 3.03, 4 Zn 3.35
Cl 0.0000 0.0000 0.0000  4 Mg 3.03, 4 Zn 3.03, 4 Cl 3.35
Zn 0.0000 0.5000 0.5000  8 Cl 3.03, 4 Mg 3.35

Computed properties:
N(E_F) in states/eV per cell: 1.5
Raw formation energy in meV/atom: -468
Energy relative to the lowest polymorph listed for this composition in kJ/mol of formula units: 268.1
Electronic total energy in eV per atom: -2.108

=====

Computed, not measured: a relaxed structure of MgZnCl2 at the PBE level of DFT.

abc: 6.0568 6.0568 6.0568
angles: 147.60 108.62 80.58
With the nearest neighbours (Å) after each atom.
Atoms (fractional coordinates):
Cl 0.0658 0.0658 0.0000  2 Zn 2.42
Mg 0.4983 0.4983 0.0000  2 Cl 2.39
Cl 0.6820 0.1820 0.5000  2 Mg 2.39
Zn 0.2538 0.7538 0.5000  2 Cl 2.42

Computed properties:
N(E_F) in states/eV per cell: 0.0
Raw formation energy in meV/atom: -885
Energy relative to the lowest polymorph listed for this composition in kJ/mol of formula units: 107.0
Electronic total energy in eV per atom: -2.525